(1)
Here is crystalline AcCe3N at its relaxed geometry from Alexandria via LeMat-Bulk. Energies are from GGA-PBE.

## Properties
DFT total energy = -32.56 eV for the cell shown
ρ = 8.7 Mg/m³
DOS(E_F) = 8.29 states/eV per cell
space-group type = Pm-3m (221)

Lattice parameters (Å, degrees): 5.0184 5.0184 5.0184 90.00 90.00 90.00
Last column: nearest neighbours and their distance in Å.
Sites, in units of the cell vectors:
Ac 0.5000 0.5000 0.5000  12 Ce 3.55
Ce 0.0000 0.5000 0.0000  2 N 2.51
Ce 0.0000 0.0000 0.5000  2 N 2.51
Ce 0.5000 0.0000 0.0000  2 N 2.51
N 0.0000 0.0000 0.0000  6 Ce 2.51

(2)
Here is crystalline ReTePb at its relaxed geometry from Alexandria via LeMat-Bulk. Energies are from GGA-PBE.

## Properties
DFT total energy = -17.00 eV for the cell shown
ρ = 11.8 Mg/m³
DOS(E_F) = 4.44 states/eV per cell
space-group type = F-43m (216)

Lattice parameters (Å, degrees): 4.6925 4.6925 4.6925 60.00 60.00 60.00
Last column: nearest neighbours and their distance in Å.
Sites, in units of the cell vectors:
Pb 0.5000 0.5000 0.5000  4 Re 2.87
Re 0.2500 0.2500 0.2500  4 Pb 2.87, 4 Te 2.87
Te 0.0000 0.0000 0.0000  4 Re 2.87

(3)
Here is crystalline La3Ru at its relaxed geometry from Alexandria via LeMat-Bulk. Energies are from GGA-PBE.

## Properties
DFT total energy = -24.32 eV for the cell shown
ρ = 7.0 Mg/m³
DOS(E_F) = 4.09 states/eV per cell
space-group type = P2/m (10)

Lattice parameters (Å, degrees): 3.5603 3.8086 9.3178 90.00 75.44 90.00
Last column: nearest neighbours and their distance in Å.
Sites, in units of the cell vectors:
La 0.9669 0.0000 0.9354  2 Ru 2.81
La 0.5331 0.0000 0.5646  2 Ru 2.81
La 0.2500 0.5000 0.2500  12 La 3.56-3.87
Ru 0.7500 0.5000 0.7500  4 La 2.81